Density functional theory data (PBE+U) for crystalline Ba3Zn2MoO6 at its relaxed geometry.

a b c (Å): 5.8889 5.8889 7.0941
angles (deg): 90.00 90.00 120.00
Space group P-3m1 (No. 164)
Symmetry-distinct sites (fractional):
Ba1 0.0000 0.0000 0.0000
Ba2 0.3333 0.6667 0.6441
Zn1 0.3333 0.6667 0.1448
Mo1 0.0000 0.0000 0.5000
O1 0.1575 0.3150 0.3397

Properties
Crystal system = trigonal
M_tot = 0.09 μB per formula unit
DFT total energy = -67.57 eV per cell